[1]
VASP calculation (PBE-GGA) on an optimized crystal structure of CoIr2Cl. Values from VASP.

Cell and atoms, written as Quantum ESPRESSO input:
```
&SYSTEM
  ibrav = 0, nat = 4, ntyp = 3
/
ATOMIC_SPECIES
Co 58.93 Co.upf
Ir 192.22 Ir.upf
Cl 35.45 Cl.upf
CELL_PARAMETERS angstrom
1.366 -2.425 0.000
1.366 2.425 0.000
0.000 0.000 9.379
ATOMIC_POSITIONS crystal
Co 0.000 0.000 0.000
Ir 0.000 0.000 0.529
Ir 0.500 0.500 0.772
Cl 0.500 0.500 0.195
```

ΔE_f (raw), meV per atom: 539
Size of the total moment, μB per formula unit: 1.904
Symmetry: No. 35
D(E_F), states/eV per atom: 1.77

=====

[2]
VASP calculation (PBE-GGA) on an optimized crystal structure of La2PdPt3. Values from VASP.

Cell and atoms, written as Quantum ESPRESSO input:
```
&SYSTEM
  ibrav = 0, nat = 24, ntyp = 3
/
ATOMIC_SPECIES
La 138.91 La.upf
Pd 106.42 Pd.upf
Pt 195.08 Pt.upf
CELL_PARAMETERS angstrom
7.277 0.000 0.000
0.000 4.112 0.000
0.000 0.000 17.422
ATOMIC_POSITIONS crystal
La 0.074 0.250 0.207
La 0.157 0.250 0.433
La 0.343 0.750 0.933
La 0.426 0.750 0.707
La 0.574 0.250 0.293
La 0.657 0.250 0.067
La 0.843 0.750 0.567
La 0.926 0.750 0.793
Pd 0.006 0.750 0.067
Pd 0.494 0.250 0.567
Pd 0.506 0.750 0.433
Pd 0.994 0.250 0.933
Pt 0.126 0.250 0.648
Pt 0.245 0.250 0.808
Pt 0.247 0.750 0.550
Pt 0.253 0.250 0.050
Pt 0.255 0.750 0.308
Pt 0.374 0.750 0.148
Pt 0.626 0.250 0.852
Pt 0.745 0.250 0.692
Pt 0.747 0.750 0.950
Pt 0.753 0.250 0.450
Pt 0.755 0.750 0.192
Pt 0.874 0.750 0.352
```

Size of the total moment, μB per formula unit: 0.000
Symmetry: No. 62
D(E_F), states/eV per atom: 0.52
Energy of formation, meV/atom: -966

=====

[3]
VASP calculation (PBE-GGA) on an optimized crystal structure of In7HgPb4. Values from VASP.

Cell and atoms, written as Quantum ESPRESSO input:
```
&SYSTEM
  ibrav = 0, nat = 12, ntyp = 3
/
ATOMIC_SPECIES
In 114.82 In.upf
Hg 200.59 Hg.upf
Pb 207.20 Pb.upf
CELL_PARAMETERS angstrom
3.486 0.000 0.000
-1.743 3.019 0.000
0.000 0.000 32.683
ATOMIC_POSITIONS crystal
In 0.000 0.000 0.000
In 0.000 0.000 0.253
In 0.000 0.000 0.747
In 0.333 0.667 0.173
In 0.333 0.667 0.425
In 0.667 0.333 0.575
In 0.667 0.333 0.827
Hg 0.000 0.000 0.500
Pb 0.333 0.667 0.661
Pb 0.333 0.667 0.914
Pb 0.667 0.333 0.086
Pb 0.667 0.333 0.339
```

Size of the total moment, μB per formula unit: 0.000
Symmetry: No. 164
D(E_F), states/eV per atom: 0.58
Energy of formation, meV/atom: 23

=====

[4]
VASP calculation (PBE-GGA) on an optimized crystal structure of Ti2CdCuTe. Values from VASP.

Cell and atoms, written as Quantum ESPRESSO input:
```
&SYSTEM
  ibrav = 0, nat = 5, ntyp = 4
/
ATOMIC_SPECIES
Ti 47.87 Ti.upf
Cd 112.41 Cd.upf
Cu 63.55 Cu.upf
Te 127.60 Te.upf
CELL_PARAMETERS angstrom
5.118 0.000 0.000
0.000 5.118 0.000
0.000 0.000 4.659
ATOMIC_POSITIONS crystal
Ti 0.000 0.500 0.000
Ti 0.500 0.000 0.000
Cd 0.000 0.000 0.000
Cu 0.000 0.000 0.500
Te 0.500 0.500 0.500
```

ΔE_f (raw), meV per atom: 846
Size of the total moment, μB per formula unit: 1.928
Symmetry: No. 123
D(E_F), states/eV per atom: 1.07

=====

[5]
VASP calculation (PBE-GGA) on an optimized crystal structure of CaNdPd2. Values from VASP.

Cell and atoms, written as Quantum ESPRESSO input:
```
&SYSTEM
  ibrav = 0, nat = 4, ntyp = 3
/
ATOMIC_SPECIES
Ca 40.08 Ca.upf
Nd 144.24 Nd.upf
Pd 106.42 Pd.upf
CELL_PARAMETERS angstrom
0.000 3.575 3.575
3.575 0.000 3.575
3.575 3.575 0.000
ATOMIC_POSITIONS crystal
Ca 0.000 0.000 0.000
Nd 0.500 0.500 0.500
Pd 0.250 0.250 0.250
Pd 0.750 0.750 0.750
```

Size of the total moment, μB per formula unit: 0.000
Symmetry: No. 225
D(E_F), states/eV per atom: 0.62
Energy of formation, meV/atom: -726

=====

[6]
VASP calculation (PBE-GGA) on an optimized crystal structure of K2Dy2F7. Values from VASP.

Cell and atoms, written as Quantum ESPRESSO input:
```
&SYSTEM
  ibrav = 0, nat = 11, ntyp = 3
/
ATOMIC_SPECIES
K 39.10 K.upf
Dy 162.50 Dy.upf
F 19.00 F.upf
CELL_PARAMETERS angstrom
3.800 -4.104 0.000
3.800 4.104 0.000
0.000 0.000 6.546
ATOMIC_POSITIONS crystal
K 0.239 0.239 0.000
K 0.761 0.761 0.000
Dy 0.229 0.771 0.500
Dy 0.771 0.229 0.500
F 0.000 0.000 0.306
F 0.000 0.000 0.694
F 0.000 0.500 0.304
F 0.000 0.500 0.696
F 0.500 0.000 0.304
F 0.500 0.000 0.696
F 0.500 0.500 0.500
```

ΔE_f (raw), meV per atom: -3481
Size of the total moment, μB per formula unit: 0.465
Symmetry: No. 65
D(E_F), states/eV per atom: 0.15

=====

[7]
VASP calculation (PBE-GGA) on an optimized crystal structure of Pm4IrBr5. Values from VASP.

Cell and atoms, written as Quantum ESPRESSO input:
```
&SYSTEM
  ibrav = 0, nat = 10, ntyp = 3
/
ATOMIC_SPECIES
Pm 145.00 Pm.upf
Ir 192.22 Ir.upf
Br 79.90 Br.upf
CELL_PARAMETERS angstrom
9.581 -2.059 0.000
9.581 2.059 0.000
-2.091 0.000 8.478
ATOMIC_POSITIONS crystal
Pm 0.001 0.001 0.216
Pm 0.349 0.349 0.913
Pm 0.651 0.651 0.087
Pm 0.999 0.999 0.784
Ir 0.500 0.500 0.000
Br 0.168 0.168 0.340
Br 0.174 0.174 0.848
Br 0.500 0.500 0.500
Br 0.826 0.826 0.152
Br 0.832 0.832 0.660
```

ΔE_f (raw), meV per atom: -1485
Size of the total moment, μB per formula unit: 0.001
Symmetry: No. 12
D(E_F), states/eV per atom: 0.61

=====

[8]
VASP calculation (PBE-GGA) on an optimized crystal structure of KP2Pt. Values from VASP.

Cell and atoms, written as Quantum ESPRESSO input:
```
&SYSTEM
  ibrav = 0, nat = 4, ntyp = 3
/
ATOMIC_SPECIES
K 39.10 K.upf
P 30.97 P.upf
Pt 195.08 Pt.upf
CELL_PARAMETERS angstrom
-2.057 2.057 4.369
2.057 -2.057 4.369
2.057 2.057 -4.369
ATOMIC_POSITIONS crystal
K 0.000 0.000 0.000
P 0.250 0.750 0.500
P 0.500 0.500 0.000
Pt 0.750 0.250 0.500
```

Size of the total moment, μB per formula unit: 0.000
Symmetry: No. 119
D(E_F), states/eV per atom: 0.56
Energy of formation, meV/atom: 600